(1)
10
Lattice="5.2140 -5.2144 0.0000 5.2140 5.2144 0.0000 -5.2001 0.0000 5.2191" Properties=species:S:1:pos:R:3 comment="Ba2SnGeAu6, relaxed, DFT GGA-PBE" mass_density_g_cm3=9.64 energy_ev_per_cell=-36.27 magnetic_moment_mub_per_atom=0.000 volume_a3_per_cell=284 pbc="T T T"
Ba 5.2140 2.6073 0.0000
Ba 5.2140 -2.6073 0.0000
Sn -2.6001 0.0000 2.6095
Ge 2.6139 0.0000 2.6095
Au 2.6078 0.0000 0.0879
Au 0.0940 0.0000 2.6095
Au 2.6139 2.5196 2.6095
Au 2.6139 -2.5196 2.6095
Au 5.1339 0.0000 2.6096
Au 2.6201 0.0000 5.1312


(2)
9
Lattice="-1.7608 3.8902 7.0483 1.7608 -3.8902 7.0483 1.7608 3.8902 -7.0483" Properties=species:S:1:pos:R:3 comment="SmCd2Au6, relaxed, DFT GGA-PBE" mass_density_g_cm3=13.39 energy_ev_per_cell=-29.01 magnetic_moment_mub_per_atom=0.000 volume_a3_per_cell=193 pbc="T T T"
Sm 0.0000 0.0000 0.0000
Cd 1.7608 0.0000 5.0317
Cd 0.0000 3.8902 2.0166
Au 1.7608 1.3917 -2.5027
Au 1.7608 2.4991 0.0000
Au 1.7608 1.3917 2.5027
Au 0.0000 2.4985 4.5456
Au 0.0000 1.3911 7.0483
Au 0.0000 2.4985 9.5510